Record 1
DFT (PBE) results for an optimized crystal structure of CaZrSbMo2.

For the size of the total moment, the calculation gives 3.04 μB/f.u. The density of states at the Fermi level is 4.9 states/eV/f.u. The calculation puts the uncorrected formation energy at 5.6 eV per formula unit.

The structure belongs to space group P4/mmm (No. 123); the cell edges are 4.945, 4.945 and 5.544 Å and the angles 90.00°, 90.00° and 90.00°. The distinct sites, in fractional coordinates, are Ca at (0.000, 0.000, 0.000), Zr at (0.500, 0.500, 0.500), Sb at (0.500, 0.500, 0.000) and Mo at (0.000, 0.500, 0.500).

***

Record 2
DFT (PBE) results for an optimized crystal structure of CaSc2Mo.

For the size of the total moment, the calculation gives 0.00 μB/f.u. The value obtained for the energy of formation is 0.432 eV/atom. Its polymorph energy (0 for the lowest one) is 266.5 meV/atom. The density of states at the Fermi level is 6.4 states/eV/f.u.

The structure belongs to space group P4mm (No. 99); the cell edges are 3.030, 3.030 and 10.146 Å and the angles 90.00°, 90.00° and 90.00°. The distinct sites, in fractional coordinates, are Ca at (0.000, 0.000, 0.000), Sc at (0.000, 0.000, 0.444), Sc at (0.500, 0.500, 0.702) and Mo at (0.500, 0.500, 0.241).

***

Record 3
DFT (PBE) results for an optimized crystal structure of CaSc2Mo.

For the size of the total moment, the calculation gives 1.62 μB/f.u. The value obtained for the energy of formation is 0.477 eV/atom. Its polymorph energy (0 for the lowest one) is 311.3 meV/atom. The density of states at the Fermi level is 4.8 states/eV/f.u.

The structure belongs to space group R3m (No. 160, hexagonal axes); the cell edges are 3.2505, 3.2505 and 31.3100 Å and the angles 90.00°, 90.00° and 120.00°. The distinct sites, in fractional coordinates, are Ca at (0.0000, 0.0000, 0.0000), Sc at (0.0000, 0.0000, 0.5214), Sc at (0.0000, 0.0000, 0.7667) and Mo at (0.0000, 0.0000, 0.2544).

***

Record 4
DFT (PBE) results for an optimized crystal structure of CaScMo.

For the size of the total moment, the calculation gives 0.00 μB/f.u. The value obtained for the energy of formation is 0.472 eV/atom. Its polymorph energy (0 for the lowest one) is 0.0 meV/atom. The density of states at the Fermi level is 4.1 states/eV/f.u.

The structure belongs to space group Fmm2 (No. 42); the cell edges are 3.783, 4.815 and 15.238 Å and the angles 90.00°, 90.00° and 90.00°. The distinct sites, in fractional coordinates, are Ca at (0.000, 0.000, 0.000), Sc at (0.000, 0.000, 0.292) and Mo at (0.000, 0.000, 0.661).

***

Record 5
DFT (PBE) results for an optimized crystal structure of CaSc2Mo.

For the size of the total moment, the calculation gives 0.00 μB/f.u. The value obtained for the energy of formation is 0.337 eV/atom. Its polymorph energy (0 for the lowest one) is 171.0 meV/atom. The density of states at the Fermi level is 3.1 states/eV/f.u.

The structure belongs to space group Immm (No. 71); the cell edges are 3.301, 5.745 and 10.343 Å and the angles 90.00°, 90.00° and 90.00°. The distinct sites, in fractional coordinates, are Ca at (0.000, 0.000, 0.000), Sc at (0.000, 0.500, 0.203) and Mo at (0.000, 0.000, 0.500).

***

Record 6
DFT (PBE) results for an optimized crystal structure of CaSc2Mo.

For the size of the total moment, the calculation gives 0.00 μB/f.u. The value obtained for the energy of formation is 0.384 eV/atom. Its polymorph energy (0 for the lowest one) is 218.0 meV/atom. The density of states at the Fermi level is 3.7 states/eV/f.u.

The structure belongs to space group Fm-3m (No. 225); the cell edges are 7.066, 7.066 and 7.066 Å and the angles 90.00°, 90.00° and 90.00°. The distinct sites, in fractional coordinates, are Ca at (0.000, 0.000, 0.000), Sc at (0.250, 0.250, 0.250) and Mo at (0.000, 0.000, 0.500).

***

Record 7
DFT (PBE) results for an optimized crystal structure of CaScMo.

For the size of the total moment, the calculation gives 0.00 μB/f.u. The value obtained for the energy of formation is 0.492 eV/atom. Its polymorph energy (0 for the lowest one) is 19.6 meV/atom. The density of states at the Fermi level is 4.9 states/eV/f.u.

The structure belongs to space group Imm2 (No. 44); the cell edges are 3.164, 3.736 and 12.137 Å and the angles 90.00°, 90.00° and 90.00°. The distinct sites, in fractional coordinates, are Ca at (0.000, 0.000, 0.000), Sc at (0.000, 0.000, 0.281) and Mo at (0.000, 0.000, 0.667).

***

Record 8
DFT (PBE) results for an optimized crystal structure of CaSc2Mo.

For the size of the total moment, the calculation gives 0.00 μB/f.u. The value obtained for the energy of formation is 0.355 eV/atom. Its polymorph energy (0 for the lowest one) is 189.0 meV/atom. The density of states at the Fermi level is 5.2 states/eV/f.u.

The structure belongs to space group C2/m (No. 12); the cell edges are 9.603, 3.122 and 6.299 Å and the angles 90.00°, 97.70° and 90.00°. The distinct sites, in fractional coordinates, are Ca at (0.000, 0.000, 0.000), Sc at (0.229, 0.000, 0.701) and Mo at (0.000, 0.500, 0.500).